Entry 1:
The following is a DFT calculation (PBE) of a relaxed structure of LiPm6Te8.

## Properties
- D(E_F): 4.375 states/eV per cell
- Total energy: -5.10 eV/atom

a b c (Å): 8.890 8.890 8.890
angles (deg): 60.00 60.00 60.00
Element x y z (fractional)
Te1 0.753 0.247 0.247
Te2 0.750 0.750 0.750
Pm1 0.500 0.000 0.000
Te3 0.753 0.247 0.753
Pm2 0.500 0.000 0.500
Pm3 0.000 0.500 0.000
Te4 0.753 0.753 0.247
Te5 0.247 0.753 0.247
Te6 0.247 0.247 0.753
Pm4 0.500 0.500 0.000
Te7 0.250 0.250 0.250
Pm5 0.000 0.000 0.500
Pm6 0.000 0.500 0.500
Te8 0.247 0.753 0.753
Li1 0.000 0.000 0.000



Entry 2:
The following is a DFT calculation (PBE) of a relaxed structure of Y2Si3Ir5.

## Properties
- D(E_F): 5.328 states/eV per cell
- Total energy: -8.19 eV/atom

a b c (Å): 4.089 6.670 12.096
angles (deg): 90.00 99.73 90.00
Element x y z (fractional)
Ir1 0.291 0.524 0.581
Ir2 0.599 0.907 0.198
Ir3 0.943 0.092 0.886
Y1 0.523 0.255 0.046
Si1 0.954 0.458 0.908
Ir4 0.868 0.707 0.736
Ir5 0.709 0.024 0.419
Ir6 0.294 0.928 0.588
Y2 0.176 0.738 0.351
Si2 0.389 0.030 0.779
Si3 0.611 0.530 0.221
Y3 0.824 0.238 0.649
Si4 0.046 0.958 0.092
Si5 0.768 0.726 0.535
Ir7 0.401 0.407 0.802
Si6 0.232 0.226 0.465
Ir8 0.057 0.592 0.114
Y4 0.477 0.755 0.954
Ir9 0.132 0.207 0.264
Ir10 0.706 0.428 0.412



Entry 3:
The following is a DFT calculation (PBE) of a relaxed structure of Tb8PrSm4.

## Properties
- D(E_F): 19.894 states/eV per cell
- Energy of formation from the pure elements: 49 kJ per mole of atoms
- Total energy: -4.16 eV/atom

a b c (Å): 11.078 11.078 7.833
angles (deg): 90.00 135.00 120.00
Element x y z (fractional)
Tb1 0.000 0.239 0.239
Tb2 0.000 0.238 0.761
Tb3 0.523 0.761 0.284
Sm1 0.500 0.000 0.000
Sm2 0.000 0.000 0.000
Tb4 0.000 0.761 0.761
Tb5 0.522 0.761 0.761
Tb6 0.478 0.239 0.239
Pr1 0.000 0.500 0.500
Tb7 0.000 0.762 0.239
Tb8 0.477 0.239 0.716
Sm3 0.000 0.500 0.000
Sm4 0.500 0.500 0.000



Entry 4:
The following is a DFT calculation (PBE) of a relaxed structure of MgUPt2.

## Properties
- D(E_F): 3.832 states/eV per cell
- Energy of formation from the pure elements: -70 kJ per mole of atoms
- Total energy: -6.97 eV/atom

a b c (Å): 3.222 3.222 7.063
angles (deg): 90.00 90.00 90.00
Element x y z (fractional)
Mg1 0.500 0.500 0.000
U1 0.500 0.500 0.500
Pt1 0.000 0.000 0.233
Pt2 0.000 0.000 0.767



Q: Among the records above, which one has the highest D(E_F)?
A: Tb8PrSm4



Q: total energy of number 3 (Tb8PrSm4)?
A: -4.16 eV/atom